Material: Cs2CeNi3F12
Method: DFT, PBE with a Hubbard U
State: relaxed

Unit cell a=7.726 b=7.726 c=7.726 alpha=58.26 beta=58.26 gamma=58.26
Site moments in Bohr magnetons follow the coordinates.
Atoms (fractional coordinates):
Cs 0.399 0.399 0.399  0.00
Cs 0.601 0.601 0.601  0.00
F 0.694 0.085 0.694  0.05
F 0.694 0.694 0.085  0.05
F 0.913 0.913 0.347  0.02
F 0.087 0.653 0.087  0.02
F 0.915 0.306 0.306  0.05
F 0.085 0.694 0.694  0.05
F 0.653 0.087 0.087  0.02
F 0.087 0.087 0.653  0.02
F 0.913 0.347 0.913  0.02
F 0.347 0.913 0.913  0.02
F 0.306 0.306 0.915  0.05
F 0.306 0.915 0.306  0.05
Ni 0.500 0.000 0.000  1.83
Ni 0.000 0.500 0.000  1.83
Ni 0.000 0.000 0.500  1.83
Ce 0.000 0.000 0.000  -0.08

Properties
* total DFT energy (no corrections): -4.860 eV per atom
* total moment: 0.3264 μB per atom